Computed, not measured: a geometry-optimized LaGaCu2Pd2 structure at the GGA-PBE level of DFT.

Values from the calculation:
The energy of formation is -86 meV/atom. As for the space group: P4/mmm, No. 123.

abc: 4.677 4.677 5.630
angles: 90.00 90.00 90.00
Sites, in units of the cell vectors:
1 La 0.000 0.000 0.000
2 Ga 0.000 0.000 0.500
3 Cu 0.500 0.500 0.241
4 Cu 0.500 0.500 0.759
5 Pd 0.000 0.500 0.500
6 Pd 0.500 0.000 0.500

---

Computed, not measured: a geometry-optimized CsCoMo3 structure at the GGA-PBE level of DFT.

Values from the calculation:
The energy of formation is 1853 meV/atom. As for the space group: Pm-3m, No. 221.

abc: 4.741 4.741 4.741
angles: 90.00 90.00 90.00
Sites, in units of the cell vectors:
1 Cs 0.000 0.000 0.000
2 Co 0.500 0.500 0.500
3 Mo 0.000 0.500 0.500
4 Mo 0.500 0.000 0.500
5 Mo 0.500 0.500 0.000

---

Computed, not measured: a geometry-optimized BaMgSb2Te structure at the GGA-PBE level of DFT.

Values from the calculation:
The formation energy from raw total energies comes out at -0.36 eV/atom. As for the space group: P4/mmm, No. 123.

abc: 5.444 5.444 5.792
angles: 90.00 90.00 90.00
Sites, in units of the cell vectors:
1 Ba 0.000 0.000 0.000
2 Mg 0.500 0.500 0.500
3 Sb 0.000 0.500 0.500
4 Sb 0.500 0.000 0.500
5 Te 0.500 0.500 0.000

---

Computed, not measured: a geometry-optimized Pr3Sm5Ho2 structure at the GGA-PBE level of DFT.

Values from the calculation:
The energy of formation is 365 meV/atom. As for the space group: Ibam, No. 72.

abc: 10.058 10.058 10.058
angles: 123.40 93.61 112.75
Sites, in units of the cell vectors:
1 Pr 0.127 0.250 0.377
2 Pr 0.250 0.250 0.000
3 Pr 0.373 0.750 0.124
4 Pr 0.627 0.250 0.876
5 Pr 0.750 0.750 0.000
6 Pr 0.873 0.750 0.623
7 Sm 0.001 0.750 0.251
8 Sm 0.121 0.599 0.720
9 Sm 0.250 0.750 0.500
10 Sm 0.379 0.099 0.478
11 Sm 0.499 0.750 0.749
12 Sm 0.501 0.250 0.251
13 Sm 0.621 0.901 0.522
14 Sm 0.750 0.250 0.500
15 Sm 0.879 0.401 0.280
16 Sm 0.999 0.250 0.749
17 Ho 0.128 0.912 0.040
18 Ho 0.372 0.412 0.784
19 Ho 0.628 0.588 0.216
20 Ho 0.872 0.088 0.960

---

| no. | raw total energy (eV/atom) |
| --- | --- |
| 1 | -4.508 |
| 2 | -6.237 |
| 3 | -3.345 |
| 4 | -4.344 |